No. 1
A relaxed AgAs2P crystal, computed with GGA-PBE.

As for the crystal system: orthorhombic. The value obtained for the formation energy from the elements is 1.4 eV/f.u.

The space group is Immm (No. 71) and the conventional cell measures 3.436, 4.260 and 10.246 Å, with angles of 90.00, 90.00 and 90.00 degrees. The distinct sites, in fractional coordinates, are Ag at (0.000, 0.000, 0.000), As at (0.000, 0.500, 0.194) and P at (0.000, 0.000, 0.500).

---

No. 2
A relaxed AgAsP2 crystal, computed with GGA-PBE.

As for the crystal system: orthorhombic. The value obtained for the formation energy from the elements is 2.3 eV/f.u.

The space group is Pmmm (No. 47) and the conventional cell measures 2.737, 4.988 and 4.989 Å, with angles of 90.00, 90.00 and 90.00 degrees. The distinct sites, in fractional coordinates, are Ag at (0.000, 0.000, 0.000), As at (0.500, 0.000, 0.500), P at (0.000, 0.500, 0.500) and P at (0.500, 0.500, 0.000).

---

No. 3
A relaxed AgAs2P crystal, computed with GGA-PBE.

As for the crystal system: tetragonal. The value obtained for the formation energy from the elements is 1.8 eV/f.u.

The space group is P4/mmm (No. 123) and the conventional cell measures 3.147, 3.147 and 7.259 Å, with angles of 90.00, 90.00 and 90.00 degrees. The distinct sites, in fractional coordinates, are Ag at (0.000, 0.000, 0.000), As at (0.500, 0.500, 0.279) and P at (0.000, 0.000, 0.500).

---

No. 4
A relaxed AgAs2P crystal, computed with GGA-PBE.

As for the crystal system: monoclinic. The value obtained for the formation energy from the elements is 0.8 eV/f.u.

The space group is P2/m (No. 10) and the conventional cell measures 2.716, 3.626 and 7.734 Å, with angles of 90.00, 90.64 and 90.00 degrees. The distinct sites, in fractional coordinates, are Ag at (0.000, 0.000, 0.000), As at (0.005, 0.500, 0.732) and P at (0.000, 0.000, 0.500).

---

No. 5
A relaxed AgAsP crystal, computed with GGA-PBE.

As for the energy above the most stable polymorph in this dataset: 250 meV per atom. As for the crystal system: orthorhombic. The value obtained for the formation energy from the elements is 1.2 eV/f.u.

The space group is Imm2 (No. 44) and the conventional cell measures 2.877, 4.224 and 10.500 Å, with angles of 90.00, 90.00 and 90.00 degrees. The distinct sites, in fractional coordinates, are Ag at (0.000, 0.000, 0.000), As at (0.000, 0.000, 0.636) and P at (0.000, 0.000, 0.410).

---

No. 6
A relaxed AgAsP2 crystal, computed with GGA-PBE.

As for the crystal system: trigonal. The value obtained for the formation energy from the elements is 2.4 eV/f.u.

The space group is R-3m (No. 166, hexagonal axes) and the conventional cell measures 2.8977, 2.8977 and 27.8688 Å, with angles of 90.00, 90.00 and 120.00 degrees. The distinct sites, in fractional coordinates, are Ag at (0.0000, 0.0000, 0.0000), As at (0.0000, 0.0000, 0.5000) and P at (0.0000, 0.0000, 0.2509).

---

No. 7
A relaxed AgAs2P crystal, computed with GGA-PBE.

As for the crystal system: tetragonal. The value obtained for the formation energy from the elements is 2.2 eV/f.u.

The space group is P4/mmm (No. 123) and the conventional cell measures 4.120, 4.120 and 4.366 Å, with angles of 90.00, 90.00 and 90.00 degrees. The distinct sites, in fractional coordinates, are Ag at (0.000, 0.000, 0.000), As at (0.000, 0.500, 0.500) and P at (0.500, 0.500, 0.000).

---

No. 8
A relaxed AgAsP2 crystal, computed with GGA-PBE.

As for the crystal system: cubic. The value obtained for the formation energy from the elements is 2.6 eV/f.u.

The space group is F-43m (No. 216) and the conventional cell measures 6.494, 6.494 and 6.494 Å, with angles of 90.00, 90.00 and 90.00 degrees. The distinct sites, in fractional coordinates, are Ag at (0.000, 0.000, 0.000), As at (0.250, 0.250, 0.750), P at (0.000, 0.000, 0.500) and P at (0.250, 0.250, 0.250).

---

No. 9
A relaxed AgAsP2 crystal, computed with GGA-PBE.

As for the crystal system: orthorhombic. The value obtained for the formation energy from the elements is 2.1 eV/f.u.

The space group is Immm (No. 71) and the conventional cell measures 3.421, 4.233 and 9.772 Å, with angles of 90.00, 90.00 and 90.00 degrees. The distinct sites, in fractional coordinates, are Ag at (0.000, 0.000, 0.000), As at (0.000, 0.000, 0.500) and P at (0.000, 0.500, 0.205).

---

No. 10
A relaxed AgAsP2 crystal, computed with GGA-PBE.

As for the crystal system: tetragonal. The value obtained for the formation energy from the elements is 0.8 eV/f.u.

The space group is I-42d (No. 122) and the conventional cell measures 5.717, 5.717 and 10.790 Å, with angles of 90.00, 90.00 and 90.00 degrees. The distinct sites, in fractional coordinates, are Ag at (0.000, 0.000, 0.000), As at (0.000, 0.000, 0.500) and P at (0.233, 0.250, 0.625).

---

No. 11
A relaxed AgAsP2 crystal, computed with GGA-PBE.

As for the crystal system: monoclinic. The value obtained for the formation energy from the elements is 1.0 eV/f.u.

The space group is Pm (No. 6) and the conventional cell measures 2.659, 3.508 and 7.607 Å, with angles of 90.00, 91.31 and 90.00 degrees. The distinct sites, in fractional coordinates, are Ag at (0.000, 0.000, 0.000), As at (0.016, 0.500, 0.725), P at (0.003, 0.000, 0.474) and P at (0.991, 0.500, 0.263).

---

No. 12
A relaxed AgAsP2 crystal, computed with GGA-PBE.

As for the crystal system: tetragonal. The value obtained for the formation energy from the elements is 2.3 eV/f.u.

The space group is P4/mmm (No. 123) and the conventional cell measures 3.141, 3.141 and 6.880 Å, with angles of 90.00, 90.00 and 90.00 degrees. The distinct sites, in fractional coordinates, are Ag at (0.000, 0.000, 0.000), As at (0.000, 0.000, 0.500) and P at (0.500, 0.500, 0.264).

---

No. 13
A relaxed AgAs2P crystal, computed with GGA-PBE.

As for the crystal system: trigonal. The value obtained for the formation energy from the elements is 0.8 eV/f.u.

The space group is R3m (No. 160, hexagonal axes) and the conventional cell measures 3.6192, 3.6192 and 20.0301 Å, with angles of 90.00, 90.00 and 120.00 degrees. The distinct sites, in fractional coordinates, are Ag at (0.0000, 0.0000, 0.0000), As at (0.0000, 0.0000, 0.5097), As at (0.0000, 0.0000, 0.7569) and P at (0.0000, 0.0000, 0.2493).

---

No. 14
A relaxed AgAs2P crystal, computed with GGA-PBE.

As for the crystal system: tetragonal. The value obtained for the formation energy from the elements is 1.6 eV/f.u.

The space group is P4mm (No. 99) and the conventional cell measures 3.249, 3.249 and 7.189 Å, with angles of 90.00, 90.00 and 90.00 degrees. The distinct sites, in fractional coordinates, are Ag at (0.000, 0.000, 0.000), As at (0.000, 0.000, 0.570), As at (0.500, 0.500, 0.229) and P at (0.500, 0.500, 0.718).

---

No. 15
A relaxed AgAsP2 crystal, computed with GGA-PBE.

As for the crystal system: orthorhombic. The value obtained for the formation energy from the elements is 2.3 eV/f.u.

The space group is Cmmm (No. 65) and the conventional cell measures 3.243, 4.412 and 9.446 Å, with angles of 90.00, 90.00 and 90.00 degrees. The distinct sites, in fractional coordinates, are Ag at (0.000, 0.000, 0.000), As at (0.000, 0.000, 0.500) and P at (0.000, 0.500, 0.246).

---

No. 16
A relaxed AgAsP crystal, computed with GGA-PBE.

As for the energy above the most stable polymorph in this dataset: 268 meV per atom. As for the crystal system: tetragonal. The value obtained for the formation energy from the elements is 1.2 eV/f.u.

The space group is I4mm (No. 107) and the conventional cell measures 3.314, 3.314 and 10.129 Å, with angles of 90.00, 90.00 and 90.00 degrees. The distinct sites, in fractional coordinates, are Ag at (0.000, 0.000, 0.000), As at (0.000, 0.000, 0.293) and P at (0.000, 0.000, 0.688).

---

No. 17
A relaxed AgAs2P crystal, computed with GGA-PBE.

As for the crystal system: orthorhombic. The value obtained for the formation energy from the elements is 1.8 eV/f.u.

The space group is Cmm2 (No. 35) and the conventional cell measures 3.245, 4.986 and 9.169 Å, with angles of 90.00, 90.00 and 90.00 degrees. The distinct sites, in fractional coordinates, are Ag at (0.000, 0.000, 0.000), As at (0.000, 0.000, 0.456), As at (0.000, 0.500, 0.751) and P at (0.000, 0.500, 0.254).

---

No. 18
A relaxed AgAs2P crystal, computed with GGA-PBE.

As for the crystal system: orthorhombic. The value obtained for the formation energy from the elements is 1.4 eV/f.u.

The space group is Pmmn (No. 59, origin choice 2) and the conventional cell measures 3.336, 4.399 and 10.301 Å, with angles of 90.00, 90.00 and 90.00 degrees. The distinct sites, in fractional coordinates, are Ag at (0.250, 0.250, 0.032), As at (0.250, 0.250, 0.443), As at (0.250, 0.750, 0.213) and P at (0.250, 0.750, 0.734).

---

No. 19
A relaxed AgAsP crystal, computed with GGA-PBE.

As for the energy above the most stable polymorph in this dataset: 335 meV per atom. As for the crystal system: cubic. The value obtained for the formation energy from the elements is 1.4 eV/f.u.

The space group is F-43m (No. 216) and the conventional cell measures 6.243, 6.243 and 6.243 Å, with angles of 90.00, 90.00 and 90.00 degrees. The distinct sites, in fractional coordinates, are Ag at (0.000, 0.000, 0.000), As at (0.250, 0.250, 0.250) and P at (0.250, 0.250, 0.750).

---

No. 20
A relaxed AgAsP crystal, computed with GGA-PBE.

As for the energy above the most stable polymorph in this dataset: 246 meV per atom. As for the crystal system: trigonal. The value obtained for the formation energy from the elements is 1.1 eV/f.u.

The space group is P3m1 (No. 156) and the conventional cell measures 4.8356, 4.8356 and 2.7297 Å, with angles of 90.00, 90.00 and 120.00 degrees. The distinct sites, in fractional coordinates, are Ag at (0.0000, 0.0000, 0.0000), As at (0.6667, 0.3333, 0.0029) and P at (0.3333, 0.6667, 0.0018).

---

No. 21
A relaxed AgAsP crystal, computed with GGA-PBE.

As for the energy above the most stable polymorph in this dataset: 314 meV per atom. As for the crystal system: tetragonal. The value obtained for the formation energy from the elements is 1.3 eV/f.u.

The space group is I4mm (No. 107) and the conventional cell measures 2.715, 2.715 and 15.243 Å, with angles of 90.00, 90.00 and 90.00 degrees. The distinct sites, in fractional coordinates, are Ag at (0.000, 0.000, 0.000), As at (0.000, 0.000, 0.655) and P at (0.000, 0.000, 0.358).

---

No. 22
A relaxed AgAsP2 crystal, computed with GGA-PBE.

As for the crystal system: trigonal. The value obtained for the formation energy from the elements is 1.0 eV/f.u.

The space group is R3m (No. 160, hexagonal axes) and the conventional cell measures 3.2008, 3.2008 and 26.5656 Å, with angles of 90.00, 90.00 and 120.00 degrees. The distinct sites, in fractional coordinates, are Ag at (0.0000, 0.0000, 0.0000), As at (0.0000, 0.0000, 0.7444), P at (0.0000, 0.0000, 0.2460) and P at (0.0000, 0.0000, 0.5315).

---

No. 23
A relaxed AgAs2P crystal, computed with GGA-PBE.

As for the crystal system: monoclinic. The value obtained for the formation energy from the elements is 1.0 eV/f.u.

The space group is Cm (No. 8) and the conventional cell measures 9.581, 3.272 and 7.019 Å, with angles of 90.00, 130.63 and 90.00 degrees. The distinct sites, in fractional coordinates, are Ag at (0.000, 0.000, 0.000), As at (0.269, 0.000, 0.583), As at (0.438, 0.000, 0.418) and P at (0.280, 0.500, 0.102).

---

No. 24
A relaxed AgAsP2 crystal, computed with GGA-PBE.

As for the crystal system: monoclinic. The value obtained for the formation energy from the elements is 1.1 eV/f.u.

The space group is C2/m (No. 12) and the conventional cell measures 6.293, 3.607 and 6.555 Å, with angles of 90.00, 108.18 and 90.00 degrees. The distinct sites, in fractional coordinates, are Ag at (0.000, 0.000, 0.000), As at (0.000, 0.500, 0.500) and P at (0.245, 0.000, 0.738).

---

No. 25
A relaxed AgAs2P crystal, computed with GGA-PBE.

As for the crystal system: monoclinic. The value obtained for the formation energy from the elements is 1.4 eV/f.u.

The space group is C2/m (No. 12) and the conventional cell measures 5.917, 9.350 and 2.734 Å, with angles of 90.00, 90.58 and 90.00 degrees. The distinct sites, in fractional coordinates, are Ag at (0.000, 0.000, 0.000), As at (0.250, 0.250, 0.000) and P at (0.000, 0.500, 0.000).

---

No. 26
A relaxed AgAsP crystal, computed with GGA-PBE.

As for the energy above the most stable polymorph in this dataset: 0 meV per atom. As for the crystal system: triclinic. The value obtained for the formation energy from the elements is 0.4 eV/f.u.

The space group is P-1 (No. 2) and the conventional cell measures 3.423, 5.582 and 7.500 Å, with angles of 73.21, 76.92 and 72.48 degrees. The distinct sites, in fractional coordinates, are Ag at (0.126, 0.193, 0.058), As at (0.191, 0.773, 0.351) and P at (0.146, 0.491, 0.717).

---

No. 27
A relaxed AgAs2P crystal, computed with GGA-PBE.

As for the crystal system: orthorhombic. The value obtained for the formation energy from the elements is 1.8 eV/f.u.

The space group is Pmmm (No. 47) and the conventional cell measures 2.825, 5.037 and 5.092 Å, with angles of 90.00, 90.00 and 90.00 degrees. The distinct sites, in fractional coordinates, are Ag at (0.000, 0.000, 0.000), As at (0.000, 0.500, 0.500), As at (0.500, 0.500, 0.000) and P at (0.500, 0.000, 0.500).

---

No. 28
A relaxed AgAsP crystal, computed with GGA-PBE.

As for the energy above the most stable polymorph in this dataset: 206 meV per atom. As for the crystal system: orthorhombic. The value obtained for the formation energy from the elements is 1.0 eV/f.u.

The space group is Amm2 (No. 38) and the conventional cell measures 3.235, 15.046 and 7.613 Å, with angles of 90.00, 90.00 and 90.00 degrees. The distinct sites, in fractional coordinates, are Ag at (0.000, 0.000, 0.000), Ag at (0.000, 0.151, 0.289), As at (0.000, 0.138, 0.663), As at (0.500, 0.000, 0.279), P at (0.500, 0.000, 0.733) and P at (0.500, 0.211, 0.837).

---

No. 29
A relaxed AgAs2P crystal, computed with GGA-PBE.

As for the crystal system: tetragonal. The value obtained for the formation energy from the elements is 0.6 eV/f.u.

The space group is I-42d (No. 122) and the conventional cell measures 5.923, 5.923 and 10.700 Å, with angles of 90.00, 90.00 and 90.00 degrees. The distinct sites, in fractional coordinates, are Ag at (0.000, 0.000, 0.000), As at (0.220, 0.250, 0.625) and P at (0.000, 0.000, 0.500).

---

No. 30
A relaxed AgAs2P crystal, computed with GGA-PBE.

As for the crystal system: trigonal. The value obtained for the formation energy from the elements is 2.0 eV/f.u.

The space group is R-3m (No. 166, hexagonal axes) and the conventional cell measures 2.9333, 2.9333 and 28.8288 Å, with angles of 90.00, 90.00 and 120.00 degrees. The distinct sites, in fractional coordinates, are Ag at (0.0000, 0.0000, 0.0000), As at (0.0000, 0.0000, 0.2474) and P at (0.0000, 0.0000, 0.5000).